The following is a GGA+U calculation of crystalline MnAuF2 at its relaxed geometry, from Alexandria.

Output
Volume, Å³ per atom: 14.20
E_tot, eV/cell: -73.6
ρ, g cm⁻³: 8.473
Fermi-level density of states, states/eV/atom: 0.3196
Polymorph energy (0 for the lowest one), meV per atom: 710

Structure (CIF):
```
data_MnAuF2
_cell_length_a 6.102
_cell_length_b 6.102
_cell_length_c 6.102
_cell_angle_alpha 90.00
_cell_angle_beta 90.00
_cell_angle_gamma 90.00
_symmetry_space_group_name_H-M 'F m -3 m'
_symmetry_Int_Tables_number 225
_symmetry_space_group_name_Hall '-F 4 2 3'
loop_
_atom_site_label
_atom_site_type_symbol
_atom_site_fract_x
_atom_site_fract_y
_atom_site_fract_z
Mn1 Mn 0.000 0.000 0.000
Au1 Au 0.000 0.000 0.500
F1 F 0.250 0.250 0.250
```

The following is a GGA+U calculation of crystalline MnAu3F at its relaxed geometry, from Alexandria.

Output
Volume, Å³ per atom: 25.26
E_tot, eV/cell: -16.2
ρ, g cm⁻³: 8.740
Fermi-level density of states, states/eV/atom: 0.8235
Polymorph energy (0 for the lowest one), meV per atom: 265

Structure (CIF):
```
data_MnAu3F
_cell_length_a 5.017
_cell_length_b 5.017
_cell_length_c 5.017
_cell_angle_alpha 90.00
_cell_angle_beta 90.00
_cell_angle_gamma 90.00
_symmetry_space_group_name_H-M 'P m -3 m'
_symmetry_Int_Tables_number 221
_symmetry_space_group_name_Hall '-P 4 2 3'
loop_
_atom_site_label
_atom_site_type_symbol
_atom_site_fract_x
_atom_site_fract_y
_atom_site_fract_z
Mn1 Mn 0.000 0.000 0.000
Au1 Au 0.000 0.000 0.500
F1 F 0.500 0.500 0.500
```

Question: The lowest polymorph energy (0 for the lowest one) belongs to which entry?
Answer: MnAu3F

What did the first record say?
The following is a GGA+U calculation of crystalline MnAuF2 at its relaxed geometry, from Alexandria.

Output
Volume, Å³ per atom: 14.20
E_tot, eV/cell: -73.6
ρ, g cm⁻³: 8.473
Fermi-level density of states, states/eV/atom: 0.3196
Polymorph energy (0 for the lowest one), meV per atom: 710

Structure (CIF):
```
data_MnAuF2
_cell_length_a 6.102
_cell_length_b 6.102
_cell_length_c 6.102
_cell_angle_alpha 90.00
_cell_angle_beta 90.00
_cell_angle_gamma 90.00
_symmetry_space_group_name_H-M 'F m -3 m'
_symmetry_Int_Tables_number 225
_symmetry_space_group_name_Hall '-F 4 2 3'
loop_
_atom_site_label
_atom_site_type_symbol
_atom_site_fract_x
_atom_site_fract_y
_atom_site_fract_z
Mn1 Mn 0.000 0.000 0.000
Au1 Au 0.000 0.000 0.500
F1 F 0.250 0.250 0.250
```